# 1
{"formula": "TaNbC2", "functional": "meta-GGA SCAN", "state": "single point on PBEsol structure", "cell": [[-1.7823, -2.5663, 0.4025], [1.3318, -2.8549, 0.0234], [0.5029, -1.4607, 5.2430]], "species": ["Nb", "C", "C", "Ta"], "fractional_positions": [[0.5000, 0.5000, 0.5000], [0.7481, 0.7481, 0.7558], [0.2519, 0.2519, 0.2442], [0.0000, 0.0000, 0.0000]], "e_tot_ev_per_atom": -30.53, "relative_energy_mev_per_atom": 0.0, "formation_energy_mev_per_atom": -552.0}

# 2
{"formula": "Ta2Ti2NbC5", "functional": "meta-GGA SCAN", "state": "single point on PBEsol structure", "cell": [[3.1130, 0.0000, 0.0000], [1.5565, 2.6959, 0.0000], [1.5565, 0.8986, 12.6557]], "species": ["Ta", "Ta", "Ti", "Ti", "Nb", "C", "C", "C", "C", "C"], "fractional_positions": [[0.1000, 0.1000, 0.6999], [0.5018, 0.5018, 0.4947], [0.9014, 0.9014, 0.2959], [0.2986, 0.2986, 0.1042], [0.6983, 0.6983, 0.9050], [0.5998, 0.5998, 0.2006], [0.8009, 0.8009, 0.5973], [0.2017, 0.2017, 0.3948], [0.9976, 0.9976, 0.0073], [0.3999, 0.3999, 0.8003]], "e_tot_ev_per_atom": -25.62, "formation_energy_mev_per_atom": -735.1}

# 3
{"formula": "YTaNbC2", "functional": "meta-GGA SCAN", "state": "single point on PBEsol structure", "cell": [[4.2111, 0.0000, 0.0000], [0.0000, 4.2111, 0.0000], [0.0000, 0.0000, 5.1459]], "species": ["Y", "Nb", "C", "C", "Ta"], "fractional_positions": [[0.0000, 0.0000, 0.0000], [0.0000, 0.0000, 0.5000], [0.0000, 0.5000, 0.0000], [0.5000, 0.0000, 0.0000], [0.5000, 0.5000, 0.5000]], "e_tot_ev_per_atom": -26.72, "formation_energy_mev_per_atom": 2830.6}

# 4
{"formula": "NbZn2TcC", "functional": "meta-GGA SCAN", "state": "single point on PBEsol structure", "cell": [[-0.2130, -1.7968, -4.1096], [0.8485, -4.5033, 1.9250], [-4.8918, -0.6852, 0.5531]], "species": ["C", "Zn", "Zn", "Nb", "Tc"], "fractional_positions": [[0.5000, 0.5000, 0.5000], [0.0000, 0.0000, 0.5000], [0.0000, 0.5000, 0.0000], [0.0000, 0.0000, 0.0000], [0.5000, 0.0000, 0.0000]], "e_tot_ev_per_atom": -18.45, "formation_energy_mev_per_atom": 2615.1}

# 5
{"formula": "NbTe2C", "functional": "meta-GGA SCAN", "state": "single point on PBEsol structure", "cell": [[6.0068, 0.0000, 0.0000], [-3.0034, 5.6791, 0.0812], [0.0000, 3.1032, 5.1431]], "species": ["Nb", "Nb", "Te", "Te", "Te", "Te", "C", "C"], "fractional_positions": [[0.7500, 0.5000, 0.7500], [0.0000, 0.0000, 0.0000], [0.1853, 0.7500, 0.8750], [0.5647, 0.7500, 0.3750], [0.3750, 0.2500, 0.1853], [0.8750, 0.2500, 0.5647], [0.2500, 0.5000, 0.2500], [0.5000, 0.0000, 0.5000]], "e_tot_ev_per_atom": -28.29}

# 6
{"formula": "NbTe2C", "functional": "meta-GGA SCAN", "state": "single point on PBEsol structure", "cell": [[-0.7416, 0.1098, 3.1813], [-0.1508, -2.7632, 1.7392], [7.9079, -0.1445, 3.5274]], "species": ["Nb", "Te", "Te", "C"], "fractional_positions": [[0.0000, 0.0000, 0.0000], [0.8935, 0.8935, 0.3194], [0.1065, 0.1065, 0.6806], [0.5000, 0.5000, 0.5000]], "e_tot_ev_per_atom": -27.99}

# 7
{"formula": "TiNb3C", "functional": "meta-GGA SCAN", "state": "single point on PBEsol structure", "cell": [[-3.9318, 1.4997, 0.8896], [-1.2666, -3.9645, 1.0852], [1.1984, 0.7300, 4.0658]], "species": ["Nb", "Nb", "Nb", "C", "Ti"], "fractional_positions": [[0.0000, 0.5000, 0.0000], [0.0000, 0.0000, 0.5000], [0.5000, 0.0000, 0.0000], [0.0000, 0.0000, 0.0000], [0.5000, 0.5000, 0.5000]], "e_tot_ev_per_atom": -25.23, "formation_energy_mev_per_atom": -122.1}

# 8
{"formula": "TiNbC2", "functional": "meta-GGA SCAN", "state": "single point on PBEsol structure", "cell": [[5.3688, 0.0022, 0.0014], [4.4699, 2.9739, 0.0014], [4.4699, 1.3521, 2.6487]], "species": ["Nb", "C", "C", "Ti"], "fractional_positions": [[0.0000, 0.0000, 0.0000], [0.7526, 0.7526, 0.7526], [0.2474, 0.2474, 0.2474], [0.5000, 0.5000, 0.5000]], "e_tot_ev_per_atom": -18.10, "formation_energy_mev_per_atom": -758.6}

Q: Number 6 is which compound?
A: NbTe2C

Q: What is the formula in the fourth record?
A: NbZn2TcC